DFT (PBE) results for a relaxed structure of La6P3Se2Cl.

Its formation energy without anion corrections is -1.82 eV per atom.

The structure belongs to space group C2/m (No. 12); the cell edges are 18.7642, 4.2523 and 8.6370 Å and the angles 90.00°, 104.53° and 90.00°. Symmetry generates all atoms from La at (0.0049, 0.0000, 0.2319), La at (0.1638, 0.5000, 0.0927), La at (0.1735, 0.5000, 0.5741), P at (0.0000, 0.5000, 0.0000), P at (0.1660, 0.0000, 0.3338), Se at (0.1646, 0.0000, 0.8294) and Cl at (0.0000, 0.5000, 0.5000).